# La2ZrAu

An optimized crystal structure of La2ZrAu (PBE-GGA, Alexandria).

a = 8.571 Å, b = 8.571 Å, c = 6.825 Å
α = 51.11°, β = 51.11°, γ = 90.00°
Fractional coordinates of all 8 atoms:
1 La 0.653 0.125 0.250
2 La 0.875 0.903 0.750
3 La 0.375 0.347 0.750
4 La 0.097 0.625 0.250
5 Au 0.750 0.250 0.500
6 Au 0.000 0.000 0.000
7 Zr 0.250 0.750 0.500
8 Zr 0.500 0.500 0.000

## Properties
- magnetic moment (μB/f.u.) = 0.009
- offset from the most stable computed form (eV per atom) = 0.289
- volume (Å³/f.u.) = 115
- VASP energy (eV/cell) = -43.14